No. 1
First-principles (PBE) data for a geometry-optimized SrNb2SiBr structure, as listed in Alexandria.

```
SrNb2SiBr
1.0
5.207 0.000 0.000
0.000 5.207 0.000
0.000 0.000 5.296
Sr Nb Si Br
1 2 1 1
direct
0.000 0.000 0.000 Sr
0.000 0.500 0.000 Nb
0.500 0.000 0.000 Nb
0.000 0.000 0.500 Si
0.500 0.500 0.500 Br
```

## Properties
ΔE_f (raw): 2359 meV/atom
density of states at the Fermi level: 5.3 states/eV per cell

***

No. 2
First-principles (PBE) data for a geometry-optimized Zn3BiCl structure, as listed in Alexandria.

```
Zn3BiCl
1.0
4.956 0.000 0.000
0.000 4.956 0.000
0.000 0.000 4.956
Zn Bi Cl
3 1 1
direct
0.000 0.000 0.500 Zn
0.000 0.500 0.000 Zn
0.500 0.000 0.000 Zn
0.500 0.500 0.500 Bi
0.000 0.000 0.000 Cl
```

## Properties
ΔE_f (raw): 388 meV/atom
density of states at the Fermi level: 1.1 states/eV per cell
energy above the most stable polymorph in this dataset: 201 meV/atom

***

No. 3
First-principles (PBE) data for a geometry-optimized La2Hf2Ni15 structure, as listed in Alexandria.

```
La2Hf2Ni15
1.0
4.259 2.459 4.237
-4.259 2.459 4.237
0.000 -4.917 4.237
La Hf Ni
2 2 15
direct
0.144 0.144 0.144 La
0.856 0.856 0.856 La
0.392 0.392 0.392 Hf
0.608 0.608 0.608 Hf
0.000 0.500 0.500 Ni
0.156 0.156 0.654 Ni
0.156 0.654 0.156 Ni
0.206 0.500 0.794 Ni
0.206 0.794 0.500 Ni
0.346 0.844 0.844 Ni
0.500 0.000 0.500 Ni
0.500 0.206 0.794 Ni
0.500 0.500 0.000 Ni
0.500 0.794 0.206 Ni
0.654 0.156 0.156 Ni
0.794 0.206 0.500 Ni
0.794 0.500 0.206 Ni
0.844 0.346 0.844 Ni
0.844 0.844 0.346 Ni
```

## Properties
ΔE_f: -5.4 eV per formula unit
density of states at the Fermi level: 25.5 states/eV per cell